# 1
The following is a PBE-GGA calculation of a geometry-optimized Sr3YNi structure, from the Alexandria database.

abc: 5.8269 5.8269 5.8269
angles: 90.00 90.00 90.00
Element x y z (fractional)
Y1 0.5000 0.5000 0.5000
Sr1 0.0000 0.5000 0.0000
Sr2 0.0000 0.0000 0.5000
Sr3 0.5000 0.0000 0.0000
Ni1 0.0000 0.0000 0.0000

## Properties
Its polymorph energy (0 for the lowest one) is 0 meV/atom. The calculation puts the mass density at 3.445 g/cm³. For the formation energy, the calculation gives 20.40 kJ per mole of atoms. Its density of states at the Fermi level is 3.9 states/eV per cell. As for the space-group type: Pm-3m (221).



# 2
The following is a PBE-GGA calculation of a geometry-optimized DyAgP2O6 structure, from the Alexandria database.

abc: 6.7759 6.7759 7.8379
angles: 106.50 106.50 100.32
Element x y z (fractional)
Dy1 0.5612 0.4388 0.2500
Dy2 0.4388 0.5612 0.7500
Ag1 0.1548 0.8452 0.2500
Ag2 0.8452 0.1548 0.7500
P1 0.4875 0.1216 0.7500
P2 0.8784 0.5125 0.7500
P3 0.5125 0.8784 0.2500
P4 0.1216 0.4875 0.2500
O1 0.8988 0.4530 0.2616
O2 0.5470 0.1012 0.2384
O3 0.1012 0.5470 0.7384
O4 0.4530 0.8988 0.7616
O5 0.1578 0.3358 0.0810
O6 0.6642 0.8422 0.4190
O7 0.8422 0.6642 0.9190
O8 0.3358 0.1578 0.5810
O9 0.3036 0.5002 0.4270
O10 0.4998 0.6964 0.0730
O11 0.6964 0.4998 0.5730
O12 0.5002 0.3036 0.9270

## Properties
The calculation puts the mass density at 4.482 g/cm³. Its density of states at the Fermi level is 0.0 states/eV per cell. As for the space-group type: C2/c (15). The formation energy (no corrections) is -2.102 eV per atom.



# 3
The following is a PBE-GGA calculation of a geometry-optimized Ca2ZrTc structure, from the Alexandria database.

abc: 5.0578 5.0578 5.0578
angles: 119.95 119.95 90.08
Element x y z (fractional)
Ca1 0.0000 0.0000 0.0000
Ca2 0.2500 0.7500 0.5000
Tc1 0.5000 0.5000 0.0000
Zr1 0.7500 0.2500 0.5000

## Properties
Its polymorph energy (0 for the lowest one) is 346 meV/atom. The calculation puts the mass density at 4.886 g/cm³. For the formation energy, the calculation gives 41.78 kJ per mole of atoms. Its density of states at the Fermi level is 4.5 states/eV per cell. As for the space-group type: I-4m2 (119).



# 4
The following is a PBE-GGA calculation of a geometry-optimized CoNi2Mo2 structure, from the Alexandria database.

abc: 7.3924 7.3924 7.3924
angles: 155.64 155.64 34.72
Last column: magnetic moment on the atom in μB.
Element x y z (fractional)
Co1 0.0000 0.0000 0.0000  1.36
Ni1 0.2500 0.7500 0.5000  -0.03
Ni2 0.7500 0.2500 0.5000  -0.03
Mo1 0.6058 0.6058 0.0000  0.05
Mo2 0.3942 0.3942 0.0000  0.05

## Properties
Its polymorph energy (0 for the lowest one) is 278 meV/atom. The calculation puts the mass density at 8.906 g/cm³. For the formation energy, the calculation gives 49.06 kJ per mole of atoms. Its density of states at the Fermi level is 5.9 states/eV per cell. As for the space-group type: I4/mmm (139).



# 5
The following is a PBE-GGA calculation of a geometry-optimized K2ReP structure, from the Alexandria database.

abc: 5.4669 3.9379 3.9379
angles: 90.00 90.00 90.00
Last column: magnetic moment on the atom in μB.
Element x y z (fractional)
K1 0.0000 0.0000 0.0000  0.00
K2 0.0000 0.5000 0.5000  0.00
P1 0.5000 0.5000 0.0000  0.00
Re1 0.5000 0.0000 0.5000  1.80

## Properties
Its polymorph energy (0 for the lowest one) is 933 meV/atom. The calculation puts the mass density at 5.786 g/cm³. For the formation energy, the calculation gives 107.05 kJ per mole of atoms. Its density of states at the Fermi level is 2.9 states/eV per cell. As for the space-group type: P4/mmm (123).



# 6
The following is a PBE-GGA calculation of a geometry-optimized NdSm2DyHo4 structure, from the Alexandria database.

abc: 9.5128 9.5128 11.8035
angles: 128.35 128.35 88.48
Last column: magnetic moment on the atom in μB.
Element x y z (fractional)
Nd1 0.0000 0.5000 0.0000  0.23
Nd2 0.0000 0.5000 0.5000  0.23
Sm1 0.5000 0.0000 0.0000  0.22
Sm2 0.5000 0.0000 0.5000  0.22
Sm3 0.0000 0.0000 0.5000  0.25
Sm4 0.5000 0.5000 0.0000  0.25
Dy1 0.5000 0.5000 0.5000  0.31
Dy2 0.0000 0.0000 0.0000  0.31
Ho1 0.2483 0.7527 0.0005  0.29
Ho2 0.7473 0.2517 0.4995  0.29
Ho3 0.2527 0.7483 0.5005  0.29
Ho4 0.7517 0.2473 0.9995  0.29
Ho5 0.7509 0.7512 0.9988  0.30
Ho6 0.7488 0.7491 0.5012  0.30
Ho7 0.2512 0.2509 0.4988  0.30
Ho8 0.2491 0.2488 0.0012  0.30

## Properties
The calculation puts the mass density at 7.883 g/cm³. For the formation energy, the calculation gives 40.94 kJ per mole of atoms. Its density of states at the Fermi level is 35.3 states/eV per cell. As for the space-group type: C2/c (15).



# 7
The following is a PBE-GGA calculation of a geometry-optimized PrGa3Cu structure, from the Alexandria database.

abc: 4.2621 4.2622 6.0595
angles: 69.39 69.38 90.09
Element x y z (fractional)
Pr1 0.3942 0.1976 0.9183
Ga1 0.6440 0.9462 0.4181
Ga2 0.1429 0.4476 0.4181
Ga3 0.7993 0.6027 0.1060
Cu1 0.0274 0.8311 0.6506

## Properties
Its polymorph energy (0 for the lowest one) is 0 meV/atom. The calculation puts the mass density at 7.197 g/cm³. For the formation energy, the calculation gives -51.32 kJ per mole of atoms. Its density of states at the Fermi level is 1.5 states/eV per cell. As for the space-group type: Cm (8).



# 8
The following is a PBE-GGA calculation of a geometry-optimized LiCa2Mn structure, from the Alexandria database.

abc: 6.3718 6.3718 5.3523
angles: 66.66 66.66 34.19
Last column: magnetic moment on the atom in μB.
Element x y z (fractional)
Ca1 0.9765 0.9765 0.0295  -0.06
Ca2 0.7620 0.7620 0.7334  -0.06
Li1 0.5368 0.5368 0.4694  -0.02
Mn1 0.2247 0.2247 0.2677  3.93

## Properties
The calculation puts the mass density at 2.123 g/cm³. For the formation energy, the calculation gives 29.65 kJ per mole of atoms. Its density of states at the Fermi level is 4.6 states/eV per cell. As for the space-group type: Cm (8).



# 9
The following is a PBE-GGA calculation of a geometry-optimized Ba6RhAu2N structure, from the Alexandria database.

abc: 7.6637 8.3931 11.2481
angles: 90.00 89.84 90.00
Element x y z (fractional)
Ba1 0.3000 0.6748 0.0551
Ba2 0.8000 0.8252 0.5551
Ba3 0.7000 0.3252 0.9449
Ba4 0.2000 0.1748 0.4449
Ba5 0.3295 0.6978 0.4423
Ba6 0.8295 0.8022 0.9423
Ba7 0.6705 0.3022 0.5577
Ba8 0.1705 0.1978 0.0577
Ba9 0.8832 0.5295 0.2357
Ba10 0.3832 0.9705 0.7357
Ba11 0.1168 0.4705 0.7643
Ba12 0.6168 0.0295 0.2643
Rh1 0.5000 0.0000 0.0000
Rh2 0.0000 0.5000 0.5000
Au1 0.0421 0.9018 0.2510
Au2 0.5421 0.5982 0.7510
Au3 0.9579 0.0982 0.7490
Au4 0.4579 0.4018 0.2490
N1 0.5000 0.0000 0.5000
N2 0.0000 0.5000 0.0000

## Properties
The calculation puts the mass density at 6.127 g/cm³. Its density of states at the Fermi level is 16.5 states/eV per cell. As for the space-group type: P2_1/c (14). The formation energy (no corrections) is -0.400 eV per atom.



# 10
The following is a PBE-GGA calculation of a geometry-optimized MgCoMoP2 structure, from the Alexandria database.

abc: 4.5624 4.0829 4.5624
angles: 90.00 90.00 90.00
Last column: magnetic moment on the atom in μB.
Element x y z (fractional)
P1 0.0000 0.0000 0.5000  0.00
P2 0.5000 0.0000 0.0000  0.00
Mo1 0.5000 0.5000 0.5000  -0.18
Co1 0.0000 0.5000 0.0000  0.84
Mg1 0.0000 0.0000 0.0000  -0.01

## Properties
The calculation puts the mass density at 4.711 g/cm³. For the formation energy, the calculation gives 146.99 kJ per mole of atoms. Its density of states at the Fermi level is 8.4 states/eV per cell. As for the space-group type: P4/mmm (123).



# 11
The following is a PBE-GGA calculation of a geometry-optimized ScAl2Cl structure, from the Alexandria database.

abc: 5.8103 3.7120 3.7120
angles: 90.00 90.00 90.00
Element x y z (fractional)
Sc1 0.5000 0.0000 0.5000
Al1 0.0000 0.0000 0.0000
Al2 0.0000 0.5000 0.5000
Cl1 0.5000 0.5000 0.0000

## Properties
Its polymorph energy (0 for the lowest one) is 196 meV/atom. The calculation puts the mass density at 2.787 g/cm³. Its density of states at the Fermi level is 1.9 states/eV per cell. As for the space-group type: P4/mmm (123). The formation energy (no corrections) is -0.333 eV per atom.



# 12
The following is a PBE-GGA calculation of a geometry-optimized CePaCoNi structure, from the Alexandria database.

abc: 3.9783 3.4143 5.9446
angles: 106.69 109.55 90.00
Element x y z (fractional)
Ce1 0.0885 0.0885 0.1771
Pa1 0.3889 0.8889 0.7778
Co1 0.8390 0.3390 0.6780
Ni1 0.6627 0.6627 0.3254

## Properties
The calculation puts the mass density at 11.199 g/cm³. For the formation energy, the calculation gives -25.87 kJ per mole of atoms. Its density of states at the Fermi level is 4.8 states/eV per cell. As for the space-group type: Imm2 (44).



# 13
The following is a PBE-GGA calculation of a geometry-optimized NaI2Br8 structure, from the Alexandria database.

abc: 8.6072 9.3601 9.3601
angles: 50.18 63.97 63.97
Element x y z (fractional)
Na1 0.0000 0.0000 0.0000
I1 0.4001 0.1451 0.1451
I2 0.5999 0.8549 0.8549
Br1 0.7680 0.1408 0.6432
Br2 0.2320 0.3568 0.8592
Br3 0.7016 0.1737 0.1737
Br4 0.2984 0.8263 0.8263
Br5 0.7680 0.6432 0.1408
Br6 0.2320 0.8592 0.3568
Br7 0.0548 0.5695 0.5695
Br8 0.9452 0.4305 0.4305

## Properties
The calculation puts the mass density at 3.002 g/cm³. Its density of states at the Fermi level is 5.9 states/eV per cell. As for the space-group type: C2/m (12). The formation energy (no corrections) is -0.174 eV per atom.



# 14
The following is a PBE-GGA calculation of a geometry-optimized NaMgAg2W structure, from the Alexandria database.

abc: 4.8341 5.1611 4.8341
angles: 90.00 90.00 90.00
Last column: magnetic moment on the atom in μB.
Element x y z (fractional)
Na1 0.0000 0.0000 0.0000  0.04
Mg1 0.5000 0.5000 0.5000  -0.03
Ag1 0.0000 0.0000 0.5000  -0.01
Ag2 0.5000 0.0000 0.0000  -0.01
W1 0.0000 0.5000 0.0000  2.69

## Properties
The calculation puts the mass density at 6.152 g/cm³. For the formation energy, the calculation gives 157.62 kJ per mole of atoms. Its density of states at the Fermi level is 2.9 states/eV per cell. As for the space-group type: P4/mmm (123).



# 15
The following is a PBE-GGA calculation of a geometry-optimized Ti2NiSn structure, from the Alexandria database.

abc: 2.9385 2.9385 7.6304
angles: 90.00 90.00 90.00
Element x y z (fractional)
Ni1 0.5000 0.5000 0.0000
Sn1 0.5000 0.5000 0.5000
Ti1 0.0000 0.0000 0.7891
Ti2 0.0000 0.0000 0.2109

## Properties
The calculation puts the mass density at 6.884 g/cm³. For the formation energy, the calculation gives -23.58 kJ per mole of atoms. Its density of states at the Fermi level is 4.7 states/eV per cell. As for the space-group type: P4/mmm (123).



# 16
The following is a PBE-GGA calculation of a geometry-optimized ZrI structure, from the Alexandria database.

abc: 5.7272 6.8240 10.8285
angles: 90.00 90.00 90.00
Element x y z (fractional)
Zr1 0.3515 0.5748 0.4681
Zr2 0.8515 0.9252 0.5319
Zr3 0.6485 0.0748 0.0319
Zr4 0.1485 0.4252 0.9681
Zr5 0.5922 0.2593 0.2795
Zr6 0.0922 0.2407 0.7205
Zr7 0.4078 0.7593 0.2205
Zr8 0.9078 0.7407 0.7795
I1 0.8511 0.4908 0.5354
I2 0.3511 0.0092 0.4646
I3 0.1489 0.9908 0.9646
I4 0.6489 0.5092 0.0354
I5 0.1160 0.3889 0.2469
I6 0.6160 0.1111 0.7531
I7 0.8840 0.8889 0.2531
I8 0.3840 0.6111 0.7469

## Properties
The calculation puts the mass density at 6.847 g/cm³. Its density of states at the Fermi level is 9.6 states/eV per cell. As for the space-group type: P2_12_12_1 (19). The formation energy (no corrections) is -0.068 eV per atom.



# 17
The following is a PBE-GGA calculation of a geometry-optimized TiNiAg2As structure, from the Alexandria database.

abc: 4.7585 4.3631 4.7585
angles: 90.00 90.00 90.00
Element x y z (fractional)
Ni1 0.0000 0.0000 0.0000
As1 0.5000 0.5000 0.5000
Ag1 0.0000 0.0000 0.5000
Ag2 0.5000 0.0000 0.0000
Ti1 0.0000 0.5000 0.0000

## Properties
The calculation puts the mass density at 6.676 g/cm³. For the formation energy, the calculation gives 53.78 kJ per mole of atoms. Its density of states at the Fermi level is 3.9 states/eV per cell. As for the space-group type: P4/mmm (123).



# 18
The following is a PBE-GGA calculation of a geometry-optimized BiPd2Se structure, from the Alexandria database.

abc: 4.1871 4.1871 6.1245
angles: 70.01 70.01 60.00
Element x y z (fractional)
Bi1 0.4973 0.4973 0.5082
Pd1 0.0748 0.0748 0.7756
Pd2 0.2533 0.2533 0.2400
Se1 0.6746 0.6746 0.9762

## Properties
The calculation puts the mass density at 9.733 g/cm³. Its density of states at the Fermi level is 1.8 states/eV per cell. As for the space-group type: R3m (160). The formation energy (no corrections) is -0.193 eV per atom.



# 19
The following is a PBE-GGA calculation of a geometry-optimized ThCoSiRh structure, from the Alexandria database.

abc: 4.2291 3.9798 5.0589
angles: 113.16 90.00 90.00
Element x y z (fractional)
Th1 0.5000 0.1993 0.3987
Co1 0.0000 0.9671 0.9342
Si1 0.0000 0.5887 0.1774
Rh1 0.5000 0.4727 0.9453

## Properties
The calculation puts the mass density at 8.951 g/cm³. Its density of states at the Fermi level is 1.1 states/eV per cell. As for the space-group type: Amm2 (38). The formation energy (no corrections) is -0.427 eV per atom.



# 20
The following is a PBE-GGA calculation of a geometry-optimized V2CdCo2 structure, from the Alexandria database.

abc: 3.9509 3.9509 5.4397
angles: 68.71 68.71 90.00
Element x y z (fractional)
Cd1 0.0000 0.0000 0.0000
Co1 0.3792 0.3792 0.2415
Co2 0.6208 0.6208 0.7585
V1 0.7500 0.2500 0.5000
V2 0.2500 0.7500 0.5000

## Properties
Its polymorph energy (0 for the lowest one) is 94 meV/atom. The calculation puts the mass density at 7.571 g/cm³. For the formation energy, the calculation gives 9.01 kJ per mole of atoms. Its density of states at the Fermi level is 2.2 states/eV per cell. As for the space-group type: I4/mmm (139).